First-principles (GGA-PBE) data for a relaxed structure of TbPrSm6Er2, as listed in Alexandria.

Energy of formation from the pure elements ... 0.1195 eV/atom
Volume ... 33.60 Å³/atom

The structure in POSCAR format:
```
TbPrSm6Er2
1.0
4.614 -7.587 0.000
4.614 7.587 0.000
-1.320 0.000 9.598
Tb Pr Sm Er
2 2 12 4
Cartesian
3.624 7.150 7.199
4.284 -7.150 2.400
4.284 1.424 2.400
3.624 -1.424 7.199
1.806 4.154 6.548
3.941 4.888 0.531
4.626 4.888 4.268
2.547 1.630 8.443
5.442 4.154 7.849
4.701 1.630 5.954
3.207 -1.630 3.644
2.465 -4.154 1.749
5.360 -1.630 1.155
3.281 -4.888 5.330
3.966 -4.888 9.067
6.102 -4.154 3.050
1.538 0.745 5.241
2.198 -0.745 0.442
5.709 0.745 9.156
6.369 -0.745 4.357
```